# 1
A relaxed Cr2FeNi8 crystal, computed with GGA-PBE.

a b c (Å): 3.474 7.075 6.521
angles (deg): 122.85 105.45 90.00
Each line ends with the local moment (μB).
Positions (direct):
Cr 0.162 0.662 0.323  1.22
Cr 0.838 0.338 0.677  1.22
Ni 0.000 0.741 0.000  0.18
Ni 0.170 0.170 0.341  0.13
Ni 0.335 0.581 0.671  0.12
Ni 0.335 0.090 0.671  0.12
Ni 0.000 0.259 0.000  0.18
Ni 0.665 0.419 0.329  0.12
Ni 0.830 0.830 0.659  0.13
Ni 0.665 0.910 0.329  0.12
Fe 0.500 0.000 0.000  2.78

DFT formation energy   139 meV per atom
Electronic total energy   -6.58 eV/atom

# 2
A relaxed Cr2FeNi crystal, computed with GGA-PBE.

a b c (Å): 2.434 2.434 7.904
angles (deg): 90.00 90.00 105.04
Each line ends with the local moment (μB).
Positions (direct):
Fe 0.000 0.000 0.503  2.15
Ni 0.500 0.500 0.750  0.24
Cr 0.500 0.500 0.251  -0.12
Cr 0.000 0.000 0.996  -0.07

DFT formation energy   50 meV per atom
Electronic total energy   -8.32 eV/atom

# 3
A relaxed CrFe4Ni crystal, computed with GGA-PBE.

a b c (Å): 2.393 9.342 7.352
angles (deg): 120.39 99.37 90.00
Each line ends with the local moment (μB).
Positions (direct):
Fe 0.001 0.127 0.001  2.31
Fe 0.999 0.873 0.999  2.31
Fe 0.999 0.627 0.998  2.07
Fe 0.333 0.620 0.667  2.20
Fe 0.001 0.373 0.002  2.07
Fe 0.667 0.380 0.333  2.20
Fe 0.665 0.887 0.330  2.27
Fe 0.335 0.113 0.670  2.27
Cr 0.830 0.363 0.661  -0.91
Cr 0.170 0.637 0.339  -0.91
Ni 0.829 0.862 0.657  0.42
Ni 0.171 0.138 0.343  0.42

DFT formation energy   198 meV per atom
Electronic total energy   -8.01 eV/atom

# 4
A relaxed Cr2FeNi crystal, computed with GGA-PBE.

a b c (Å): 2.416 2.416 7.751
angles (deg): 90.00 90.00 90.00
Each line ends with the local moment (μB).
Positions (direct):
Fe 0.000 0.000 0.508  2.03
Cr 0.000 0.000 0.989  -0.09
Cr 0.500 0.500 0.254  0.04
Ni 0.500 0.500 0.749  0.15

DFT formation energy   97 meV per atom
Electronic total energy   -8.28 eV/atom

# 5
A relaxed Cr2FeNi crystal, computed with GGA-PBE.

a b c (Å): 4.070 2.420 4.558
angles (deg): 85.88 90.00 90.00
Each line ends with the local moment (μB).
Positions (direct):
Cr 0.000 0.056 0.973  0.12
Cr 0.500 0.220 0.275  -0.19
Fe 0.000 0.583 0.476  1.52
Ni 0.500 0.642 0.775  0.09

DFT formation energy   98 meV per atom
Electronic total energy   -8.28 eV/atom

# 6
A relaxed Cr2FeNi3 crystal, computed with GGA-PBE.

a b c (Å): 4.271 4.271 7.944
angles (deg): 100.75 100.75 107.77
Positions (direct):
Cr 0.297 0.047 0.593
Cr 0.953 0.703 0.907
Cr 0.047 0.297 0.093
Cr 0.703 0.953 0.407
Ni 0.790 0.540 0.579
Ni 0.540 0.790 0.079
Ni 0.460 0.210 0.921
Ni 0.375 0.625 0.750
Ni 0.210 0.460 0.421
Ni 0.625 0.375 0.250
Fe 0.875 0.125 0.750
Fe 0.125 0.875 0.250

DFT formation energy   48 meV per atom
Electronic total energy   -7.46 eV/atom